Record 1
Computed, not measured: SbIrPt2 at its PBEsol-relaxed geometry at the meta-GGA SCAN level of DFT.

```
data_SbIrPt2
_chemical_formula_sum 'Sb1 Ir1 Pt2'
_space_group_name_H-M_alt 'P m m m'
_space_group_IT_number 47
_cell_length_a 2.9825
_cell_length_b 3.9091
_cell_length_c 5.6205
_cell_angle_alpha 90.00
_cell_angle_beta 90.00
_cell_angle_gamma 90.00
loop_
_space_group_symop_operation_xyz
'x,y,z'
'-x,-y,-z'
'-x,-y,z'
'x,y,-z'
'x,-y,-z'
'-x,y,z'
'-x,y,-z'
'x,-y,z'
loop_
_atom_site_label
_atom_site_fract_x
_atom_site_fract_y
_atom_site_fract_z
Sb1 0.0000 0.0000 0.0000
Ir1 0.0000 0.0000 0.5000
Pt1 0.5000 0.5000 0.2635
```

Output
Total energy = -247.79 eV per cell
Crystal system = orthorhombic
Calculated density = 17.84 g/cm³

Record 2
Computed, not measured: ReRuSe2 at its PBEsol-relaxed geometry at the meta-GGA SCAN level of DFT.

```
data_ReRuSe2
_chemical_formula_sum 'Re1 Ru1 Se2'
_space_group_name_H-M_alt 'P 4/m m m'
_space_group_IT_number 123
_space_group_name_Hall '-P 4 2'
_cell_length_a 3.0844
_cell_length_b 3.0844
_cell_length_c 6.1754
_cell_angle_alpha 90.00
_cell_angle_beta 90.00
_cell_angle_gamma 90.00
loop_
_atom_site_label
_atom_site_fract_x
_atom_site_fract_y
_atom_site_fract_z
Re1 0.0000 0.0000 0.0000
Ru1 0.0000 0.0000 0.5000
Se1 0.5000 0.5000 0.2486
```

Output
Total energy = -143.96 eV per cell
Crystal system = tetragonal
Calculated density = 12.58 g/cm³

Record 3
Computed, not measured: K2YRh at its PBEsol-relaxed geometry at the meta-GGA SCAN level of DFT.

```
data_K2YRh
_chemical_formula_sum 'K2 Y1 Rh1'
_space_group_name_H-M_alt 'P 4/m m m'
_space_group_IT_number 123
_space_group_name_Hall '-P 4 2'
_cell_length_a 4.6404
_cell_length_b 4.6404
_cell_length_c 5.6363
_cell_angle_alpha 90.00
_cell_angle_beta 90.00
_cell_angle_gamma 90.00
loop_
_atom_site_label
_atom_site_fract_x
_atom_site_fract_y
_atom_site_fract_z
K1 0.0000 0.0000 0.2342
Y1 0.5000 0.5000 0.5000
Rh1 0.5000 0.5000 0.0000
```

Output
Formation energy from the elements = 739 meV/atom
Crystal system = tetragonal
Calculated density = 3.69 g/cm³

Record 4
Computed, not measured: LiAsPSe2 at its PBEsol-relaxed geometry at the meta-GGA SCAN level of DFT.

```
data_LiAsPSe2
_chemical_formula_sum 'Li1 As1 P1 Se2'
_space_group_name_H-M_alt 'P 4/m m m'
_space_group_IT_number 123
_space_group_name_Hall '-P 4 2'
_cell_length_a 4.6661
_cell_length_b 4.6661
_cell_length_c 4.1630
_cell_angle_alpha 90.00
_cell_angle_beta 90.00
_cell_angle_gamma 90.00
loop_
_atom_site_label
_atom_site_fract_x
_atom_site_fract_y
_atom_site_fract_z
Li1 0.0000 0.0000 0.0000
As1 0.5000 0.5000 0.5000
P1 0.0000 0.0000 0.5000
Se1 0.0000 0.5000 0.0000
```

Output
Total energy = -69.74 eV per cell
Crystal system = tetragonal
Calculated density = 4.96 g/cm³

Record 5
Computed, not measured: KYMn2 at its PBEsol-relaxed geometry at the meta-GGA SCAN level of DFT.

```
data_KYMn2
_chemical_formula_sum 'K2 Y2 Mn4'
_space_group_name_H-M_alt 'I m m 2'
_space_group_IT_number 44
_cell_length_a 3.2501
_cell_length_b 4.7801
_cell_length_c 13.2848
_cell_angle_alpha 90.00
_cell_angle_beta 90.00
_cell_angle_gamma 90.00
loop_
_space_group_symop_operation_xyz
'x,y,z'
'-x,-y,z'
'-x,y,z'
'x,-y,z'
'x+1/2,y+1/2,z+1/2'
'-x+1/2,-y+1/2,z+1/2'
'-x+1/2,y+1/2,z+1/2'
'x+1/2,-y+1/2,z+1/2'
loop_
_atom_site_label
_atom_site_fract_x
_atom_site_fract_y
_atom_site_fract_z
K1 0.0000 0.0000 0.0000
Y1 0.0000 0.5000 0.2318
Mn1 0.0000 0.0000 0.3417
Mn2 0.0000 0.5000 0.7473
```

Output
Formation energy from the elements = 707 meV/atom
Crystal system = orthorhombic
Calculated density = 3.83 g/cm³

Record 6
Computed, not measured: Na2PPdRu at its PBEsol-relaxed geometry at the meta-GGA SCAN level of DFT.

```
data_Na2PPdRu
_chemical_formula_sum 'Na2 P1 Pd1 Ru1'
_space_group_name_H-M_alt 'P 4/m m m'
_space_group_IT_number 123
_space_group_name_Hall '-P 4 2'
_cell_length_a 4.8636
_cell_length_b 4.8636
_cell_length_c 4.6907
_cell_angle_alpha 90.00
_cell_angle_beta 90.00
_cell_angle_gamma 90.00
loop_
_atom_site_label
_atom_site_fract_x
_atom_site_fract_y
_atom_site_fract_z
Na1 0.0000 0.5000 0.0000
P1 0.0000 0.0000 0.5000
Pd1 0.5000 0.5000 0.0000
Ru1 0.5000 0.5000 0.5000
```

Output
Formation energy from the elements = 1069 meV/atom
Crystal system = tetragonal
Calculated density = 4.26 g/cm³

Record 7
Computed, not measured: OsPbSeN2 at its PBEsol-relaxed geometry at the meta-GGA SCAN level of DFT.

```
data_OsPbSeN2
_chemical_formula_sum 'Os1 Pb1 Se1 N2'
_space_group_name_H-M_alt 'P 4/m m m'
_space_group_IT_number 123
_space_group_name_Hall '-P 4 2'
_cell_length_a 4.0845
_cell_length_b 4.0845
_cell_length_c 5.7338
_cell_angle_alpha 90.00
_cell_angle_beta 90.00
_cell_angle_gamma 90.00
loop_
_atom_site_label
_atom_site_fract_x
_atom_site_fract_y
_atom_site_fract_z
Os1 0.0000 0.0000 0.0000
Pb1 0.5000 0.5000 0.5000
Se1 0.5000 0.5000 0.0000
N1 0.0000 0.5000 0.5000
```

Output
Total energy = -173.43 eV per cell
Crystal system = tetragonal
Calculated density = 8.76 g/cm³

Record 8
Computed, not measured: CoRe2W at its PBEsol-relaxed geometry at the meta-GGA SCAN level of DFT.

```
data_CoRe2W
_chemical_formula_sum 'Co2 Re4 W2'
_space_group_name_H-M_alt 'C 1 2/m 1'
_space_group_IT_number 12
_cell_length_a 5.2484
_cell_length_b 8.6843
_cell_length_c 2.6374
_cell_angle_alpha 90.00
_cell_angle_beta 111.10
_cell_angle_gamma 90.00
loop_
_space_group_symop_operation_xyz
'x,y,z'
'-x,-y,-z'
'-x,y,-z'
'x,-y,z'
'x+1/2,y+1/2,z'
'-x+1/2,-y+1/2,-z'
'-x+1/2,y+1/2,-z'
'x+1/2,-y+1/2,z'
loop_
_atom_site_label
_atom_site_fract_x
_atom_site_fract_y
_atom_site_fract_z
Co1 0.0000 0.0000 0.0000
Re1 0.2500 0.2500 0.5000
W1 0.0000 0.5000 0.0000
```

Output
Formation energy from the elements = 146 meV/atom
Crystal system = monoclinic
Calculated density = 18.22 g/cm³

no.,M_tot (μB/atom)
1,0.000
2,0.000
3,0.000
4,0.000
5,0.104
6,0.100
7,1.095
8,0.436